Below is a PBEsol-optimized structure of ZnTe2H, with properties calculated at the meta-GGA SCAN level.

Lattice parameters (Å, degrees): 3.9528 3.9528 21.0650 90.00 90.00 120.00
Space group R-3m (No. 166, hexagonal axes)
One atom of each set of equivalent atoms:
1 Zn 0.0000 0.0000 0.0000
2 Te 0.0000 0.0000 0.4067
3 H 0.0000 0.0000 0.5000

Properties
Mass density = 5.6 Mg/m³
Total DFT energy (no corrections) = -90.8 eV/f.u.